(1)
First-principles (PBE-GGA) data for BaGaIr after structural relaxation, as listed in OQMD via LeMat-Bulk.

Computed properties:
Symmetry: F-43m
Calculated density in g/cm³: 8.104
E_tot in eV per atom: -4.544

Unit cell a=4.873 b=4.873 c=4.873 alpha=60.00 beta=60.00 gamma=60.00
Element x y z (fractional)
Ba1 0.000 0.000 0.000
Ga1 0.500 0.500 0.500
Ir1 0.250 0.250 0.250

(2)
First-principles (PBE-GGA) data for BaMgGa2Ir after structural relaxation, as listed in OQMD via LeMat-Bulk.

Computed properties:
Symmetry: I-4m2
Calculated density in g/cm³: 7.232
Relative energy among the computed polymorphs in eV per atom: 0.154
E_tot in eV per atom: -4.006

Unit cell a=6.868 b=6.868 c=6.868 alpha=143.63 beta=143.63 gamma=52.38
Element x y z (fractional)
Ba1 0.000 0.000 0.000
Mg1 0.750 0.250 0.500
Ga1 0.369 0.369 0.000
Ga2 0.631 0.631 0.000
Ir1 0.250 0.750 0.500

> calculated density of number 2 (BaMgGa2Ir)?

7.232 g/cm³

> Among the records above, which one has the lowest E_tot?

BaGaIr

> Which value of E_tot does entry 1 give?

-4.544 eV per atom